Material: ZrTc2Au
Method: DFT, GGA-PBE
State: relaxed

Structure (POSCAR):
```
ZrTc2Au
1.0
-2.762 -2.712 -0.709
2.047 -1.271 -3.112
4.421 -8.360 3.834
Au Tc Zr
2 4 2
direct
0.000 0.000 0.000
0.750 0.250 0.500
0.563 0.125 0.250
0.187 0.625 0.250
0.375 0.437 0.750
0.875 0.813 0.750
0.500 0.500 0.000
0.250 0.750 0.500
```

- space group = I-42d, No. 122
- formation energy (eV per atom) = 0.393
- size of the total moment (μB per cell) = 0.0

=====

Material: Zr2TcAu
Method: DFT, GGA-PBE
State: relaxed

Structure (POSCAR):
```
Zr2TcAu
1.0
-3.003 -1.310 1.237
0.953 -3.196 -1.070
2.722 -1.034 5.514
Au Tc Zr
1 1 2
direct
0.000 0.000 0.498
0.500 0.500 0.763
0.000 0.000 0.970
0.500 0.500 0.269
```

- space group = P4mm, No. 99
- formation energy (eV per atom) = -0.159
- size of the total moment (μB per cell) = 0.0

=====

Material: ZrTc2Au
Method: DFT, GGA-PBE
State: relaxed

Structure (POSCAR):
```
ZrTc2Au
1.0
3.040 0.000 0.000
0.000 3.819 0.000
0.000 0.000 5.905
Au Tc Zr
1 2 1
direct
0.500 0.500 0.755
0.000 0.000 0.032
0.500 0.500 0.223
0.000 0.000 0.490
```

- space group = Pmm2, No. 25
- formation energy (eV per atom) = -0.077
- size of the total moment (μB per cell) = 0.0